[1]
Computed, not measured: crystalline Tb2PrHo3S6 at its relaxed geometry at the GGA-PBE level of DFT.

Structure (extended XYZ):
```
12
Lattice="6.813 -0.011 -0.001 -3.414 5.895 -0.001 -1.135 -1.965 6.447" Properties=species:S:1:pos:R:3 pbc="T T T"
S 2.335 -0.005 1.678
S 3.434 1.900 4.767
S 2.234 3.868 1.657
S -0.071 3.924 4.767
S 0.029 0.051 4.788
S -1.171 2.020 1.678
Ho 1.132 1.960 3.222
Ho -2.321 3.954 3.222
Ho 4.585 -0.035 3.222
Pr 0.000 0.000 0.000
Tb 3.396 1.962 -0.001
Tb 0.002 3.922 -0.001
```

Summary:
Symmetry: C2/m (12)
Calculated volume, Å³ per cell: 258.6

=====

[2]
Computed, not measured: crystalline Pr2HoTe2S2 at its relaxed geometry at the GGA-PBE level of DFT.

Structure (extended XYZ):
```
7
Lattice="-0.070 1.930 -4.668 -1.147 -4.552 -1.865 -7.284 2.971 4.070" Properties=species:S:1:pos:R:3 pbc="T T T"
Pr -6.051 1.273 0.617
Pr -2.450 -0.924 -3.079
Ho 0.000 0.000 0.000
Te -5.580 -0.265 -2.760
Te -2.920 0.614 0.298
S -0.574 -2.276 -0.932
S -0.035 0.965 -2.334
```

Summary:
Symmetry: I4/mmm (139)
Calculated volume, Å³ per cell: 206.8

=====

[3]
Computed, not measured: crystalline Pr2Ho3ThS6 at its relaxed geometry at the GGA-PBE level of DFT.

Structure (extended XYZ):
```
12
Lattice="3.947 0.000 0.000 0.000 8.052 0.149 -1.973 -2.465 8.406" Properties=species:S:1:pos:R:3 pbc="T T T"
S 0.000 1.599 5.726
S 1.973 3.988 2.830
S 0.000 5.940 0.206
S 1.973 -0.353 8.350
S 0.000 5.859 5.678
S 1.973 -0.272 2.878
Pr 0.000 1.844 2.819
Pr 1.973 3.743 5.737
Ho 1.973 4.026 0.075
Ho 1.973 -0.310 5.623
Ho 0.000 5.897 2.933
Th 1.973 0.000 0.000
```

Summary:
Symmetry: C2/m (12)
Calculated volume, Å³ per cell: 268.6

=====

We obtain density values of 7.36, 6.15, 7.43 Mg/m³ for the records listed above, in that order.
We obtain Fermi-level density of states values of 5.01, 2.93, 5.40 states/eV per cell for the records listed above, in that order.
We obtain formation energy from raw total energies values of -192.5, -147.7, -189.4 kJ/mol of atoms for the records listed above, in that order.